# LaZn2

A relaxed structure of LaZn2 (PBE, Alexandria via LeMat-Bulk). Values from VASP.

```
&SYSTEM
  ibrav = 0, nat = 3, ntyp = 2
/
ATOMIC_SPECIES
Zn 65.41 Zn.upf
La 138.91 La.upf
CELL_PARAMETERS angstrom
-2.210 4.205 4.073
-0.566 0.265 6.226
3.559 -1.244 -4.994
ATOMIC_POSITIONS angstrom
Zn -0.536 0.863 1.989
Zn -2.240 3.606 8.309
La -1.388 2.235 5.149
```

The calculation puts the total energy at -2.6793 eV per atom. The calculation puts the total magnetization at 0.000 μB/f.u. The space-group type is I4/mmm, No. 139. Its formation energy is -188 meV per atom.